No. 1
A relaxed structure of LuZnPbS3. Source: OQMD via LeMat-Bulk, functional GGA-PBE.

Output
* SG: Cmcm (63)
* spin magnetization: 0.03 μB per formula unit
* E: -4.65 eV/atom

Cell lengths 7.4104, 7.4104, 10.3208 Å; angles 90.00, 90.00, 150.55 degrees
With the nearest neighbours (Å) after each atom.
Sites, in units of the cell vectors:
Lu 0.5000 0.5000 0.0000  6 S 2.65-2.68
Lu 0.5000 0.5000 0.5000  6 S 2.65-2.68
Pb 0.2290 0.7710 0.2500  8 S 3.29-3.52, 2 Zn 3.47
Pb 0.7710 0.2290 0.7500  8 S 3.29-3.52, 2 Zn 3.47
S 0.8701 0.1299 0.0382  1 Zn 2.36
S 0.5410 0.4590 0.2500  2 Zn 2.44, 2 Lu 2.65
S 0.8701 0.1299 0.4618  1 Zn 2.36
S 0.1299 0.8701 0.5382  1 Zn 2.36
S 0.4590 0.5410 0.7500  2 Zn 2.44, 2 Lu 2.65
S 0.1299 0.8701 0.9618  1 Zn 2.36
Zn 0.9327 0.0673 0.2500  4 S 2.36-2.44
Zn 0.0673 0.9327 0.7500  4 S 2.36-2.44

***

No. 2
A relaxed structure of TlPbAu3S4. Source: OQMD via LeMat-Bulk, functional GGA-PBE.

Output
* SG: P-43m (215)
* E: -3.48 eV/atom

Cell lengths 6.1610, 6.1610, 6.1610 Å; angles 90.00, 90.00, 90.00 degrees
With the nearest neighbours (Å) after each atom.
Sites, in units of the cell vectors:
Au 0.5000 0.0000 0.0000  4 S 2.70
Au 0.0000 0.5000 0.0000  4 S 2.70
Au 0.0000 0.0000 0.5000  4 S 2.70
Pb 0.0000 0.0000 0.0000  4 S 2.75, 6 Au 3.08
S 0.7418 0.2582 0.2582  1 Tl 2.58, 3 Au 2.70, 1 Pb 2.75
S 0.2582 0.7418 0.2582  1 Tl 2.58, 3 Au 2.70, 1 Pb 2.75
S 0.2582 0.2582 0.7418  1 Tl 2.58, 3 Au 2.70, 1 Pb 2.75
S 0.7418 0.7418 0.7418  1 Tl 2.58, 3 Au 2.70, 1 Pb 2.75
Tl 0.5000 0.5000 0.5000  4 S 2.58

***

No. 3
A relaxed structure of NaPaAsO. Source: OQMD via LeMat-Bulk, functional GGA-PBE.

Output
* SG: Pmc2_1 (26)
* spin magnetization: 1.00 μB per formula unit
* E: -6.32 eV/atom

Cell lengths 4.1689, 6.7325, 6.9277 Å; angles 90.00, 90.00, 90.00 degrees
With the nearest neighbours (Å) after each atom.
Sites, in units of the cell vectors:
As 0.0000 0.6946 0.3418  2 Na 2.92-3.10, 4 Pa 2.99-3.04
As 0.0000 0.3054 0.8418  2 Na 2.92-3.10, 4 Pa 2.99-3.04
Na 0.0000 0.1186 0.4332  2 O 2.42
Na 0.0000 0.8814 0.9332  2 O 2.42
O 0.5000 0.2903 0.3749  2 Pa 2.23-2.25, 2 Na 2.42
O 0.5000 0.7097 0.8749  2 Pa 2.23-2.25, 2 Na 2.42
Pa 0.5000 0.4761 0.1040  2 O 2.23-2.25
Pa 0.5000 0.5239 0.6040  2 O 2.23-2.25

***

No. 4
A relaxed structure of Tb2H2Pb. Source: OQMD via LeMat-Bulk, functional GGA-PBE.

Output
* SG: I4/mmm (139)
* spin magnetization: 0.01 μB per formula unit
* E: -4.58 eV/atom

Cell lengths 6.1456, 6.1456, 8.0524 Å; angles 109.10, 109.10, 38.28 degrees
With the nearest neighbours (Å) after each atom.
Sites, in units of the cell vectors:
H 0.2497 0.2504 0.1252  4 Tb 2.26
H 0.7496 0.7503 0.3748  4 Tb 2.26
H 0.2504 0.2497 0.6252  4 Tb 2.26
H 0.7503 0.7496 0.8748  4 Tb 2.26
Pb 0.9999 0.0001 0.2500  8 Tb 3.31, 8 H 3.39
Pb 0.0001 0.9999 0.7500  8 Tb 3.31, 8 H 3.39
Tb 0.6550 0.6554 0.0776  4 H 2.26
Tb 0.3446 0.3450 0.4224  4 H 2.26
Tb 0.6554 0.6550 0.5776  4 H 2.26
Tb 0.3450 0.3446 0.9224  4 H 2.26

***

No. 5
A relaxed structure of Zr2CdMo. Source: OQMD via LeMat-Bulk, functional GGA-PBE.

Output
* SG: F-43m (216)
* spin magnetization: 0.00 μB per formula unit
* energy of formation from the pure elements: 0.97 eV per formula unit
* E: -6.97 eV/atom

Cell lengths 4.8197, 4.8197, 4.8197 Å; angles 60.00, 60.00, 60.00 degrees
With the nearest neighbours (Å) after each atom.
Sites, in units of the cell vectors:
Cd 0.0000 0.0000 0.0000  4 Zr 2.95, 4 Mo 2.95
Mo 0.2500 0.2500 0.2500  4 Zr 2.95, 4 Cd 2.95
Zr 0.5000 0.5000 0.5000  4 Mo 2.95, 4 Zr 2.95
Zr 0.7500 0.7500 0.7500  4 Zr 2.95, 4 Cd 2.95

***

No. 6
A relaxed structure of YHgIr2. Source: OQMD via LeMat-Bulk, functional GGA-PBE.

Output
* SG: F-43m (216)
* spin magnetization: 0.46 μB per formula unit
* energy of formation from the pure elements: 0.21 eV per formula unit
* E: -6.06 eV/atom

Cell lengths 4.7451, 4.7451, 4.7451 Å; angles 60.00, 60.00, 60.00 degrees
With the nearest neighbours (Å) after each atom.
Sites, in units of the cell vectors:
Hg 0.7500 0.7500 0.7500  4 Ir 2.91, 4 Y 2.91
Ir 0.0000 0.0000 0.0000  4 Ir 2.91, 4 Hg 2.91
Ir 0.2500 0.2500 0.2500  4 Y 2.91, 4 Ir 2.91
Y 0.5000 0.5000 0.5000  4 Ir 2.91, 4 Hg 2.91